1.
# PBE KSrP2, optimized geometry
data_KSrP2
_symmetry_space_group_name_H-M 'P 1'
_symmetry_Int_Tables_number 1
_cell_length_a 9.557
_cell_length_b 9.557
_cell_length_c 9.557
_cell_angle_alpha 23.03
_cell_angle_beta 23.03
_cell_angle_gamma 23.03
loop_
_symmetry_equiv_pos_as_xyz
'x,y,z'
loop_
_atom_site_label
_atom_site_type_symbol
_atom_site_fract_x
_atom_site_fract_y
_atom_site_fract_z
K1 K 0.000 0.000 0.000
Sr1 Sr 0.500 0.500 0.500
P1 P 0.245 0.245 0.245
P2 P 0.755 0.755 0.755
# M_tot = 0.000 Bohr magnetons per cell
# ΔE_f = -29.1 meV/atom
# VASP energy = -13.7 eV/cell
# calculated density = 2673 kg/m3
# SG = R-3m, No. 166
# energy above the lowest structure with this stoichiometry = 615 meV per atom
# N(E_F) = 1.86 states/eV/f.u.

2.
# PBE KSrP2, optimized geometry
data_KSrP2
_symmetry_space_group_name_H-M 'P 1'
_symmetry_Int_Tables_number 1
_cell_length_a 4.724
_cell_length_b 4.724
_cell_length_c 4.417
_cell_angle_alpha 90.00
_cell_angle_beta 90.00
_cell_angle_gamma 90.00
loop_
_symmetry_equiv_pos_as_xyz
'x,y,z'
loop_
_atom_site_label
_atom_site_type_symbol
_atom_site_fract_x
_atom_site_fract_y
_atom_site_fract_z
K1 K 0.000 0.000 0.000
Sr1 Sr 0.500 0.500 0.000
P1 P 0.000 0.500 0.500
P2 P 0.500 0.000 0.500
# M_tot = 0.000 Bohr magnetons per cell
# ΔE_f = -259.1 meV/atom
# VASP energy = -14.6 eV/cell
# calculated density = 3179 kg/m3
# SG = P4/mmm, No. 123
# energy above the lowest structure with this stoichiometry = 385 meV per atom
# N(E_F) = 1.89 states/eV/f.u.

3.
# PBE KSrP2, optimized geometry
data_KSrP2
_symmetry_space_group_name_H-M 'P 1'
_symmetry_Int_Tables_number 1
_cell_length_a 4.524
_cell_length_b 4.524
_cell_length_c 6.417
_cell_angle_alpha 90.00
_cell_angle_beta 90.00
_cell_angle_gamma 90.00
loop_
_symmetry_equiv_pos_as_xyz
'x,y,z'
loop_
_atom_site_label
_atom_site_type_symbol
_atom_site_fract_x
_atom_site_fract_y
_atom_site_fract_z
K1 K 0.000 0.000 0.000
Sr1 Sr 0.500 0.500 0.501
P1 P 0.000 0.000 0.500
P2 P 0.500 0.500 0.001
# M_tot = 2.903 Bohr magnetons per cell
# ΔE_f = 18.5 meV/atom
# VASP energy = -13.5 eV/cell
# calculated density = 2386 kg/m3
# SG = P4mm, No. 99
# energy above the lowest structure with this stoichiometry = 663 meV per atom
# N(E_F) = 4.40 states/eV/f.u.

4.
# PBE KSrP2, optimized geometry
data_KSrP2
_symmetry_space_group_name_H-M 'P 1'
_symmetry_Int_Tables_number 1
_cell_length_a 5.540
_cell_length_b 5.540
_cell_length_c 5.540
_cell_angle_alpha 129.57
_cell_angle_beta 129.57
_cell_angle_gamma 74.09
loop_
_symmetry_equiv_pos_as_xyz
'x,y,z'
loop_
_atom_site_label
_atom_site_type_symbol
_atom_site_fract_x
_atom_site_fract_y
_atom_site_fract_z
K1 K 0.000 0.000 0.000
Sr1 Sr 0.500 0.500 0.000
P1 P 0.250 0.750 0.500
P2 P 0.750 0.250 0.500
# M_tot = 0.000 Bohr magnetons per cell
# ΔE_f = -260.9 meV/atom
# VASP energy = -14.6 eV/cell
# calculated density = 3180 kg/m3
# SG = I4/mmm, No. 139
# energy above the lowest structure with this stoichiometry = 384 meV per atom
# N(E_F) = 1.78 states/eV/f.u.

5.
# PBE KSr3P, optimized geometry
data_KSr3P
_symmetry_space_group_name_H-M 'P 1'
_symmetry_Int_Tables_number 1
_cell_length_a 6.338
_cell_length_b 6.338
_cell_length_c 6.338
_cell_angle_alpha 90.00
_cell_angle_beta 90.00
_cell_angle_gamma 90.00
loop_
_symmetry_equiv_pos_as_xyz
'x,y,z'
loop_
_atom_site_label
_atom_site_type_symbol
_atom_site_fract_x
_atom_site_fract_y
_atom_site_fract_z
K1 K 0.000 0.000 0.000
Sr1 Sr 0.000 0.000 0.500
Sr2 Sr 0.000 0.500 0.000
Sr3 Sr 0.500 0.000 0.000
P1 P 0.500 0.500 0.500
# M_tot = 1.834 Bohr magnetons per cell
# ΔE_f = 1063.4 meV/atom
# VASP energy = -6.2 eV/cell
# calculated density = 2171 kg/m3
# SG = Pm-3m, No. 221
# energy above the lowest structure with this stoichiometry = 1493 meV per atom
# N(E_F) = 4.12 states/eV/f.u.

6.
# PBE K2SrZnP2, optimized geometry
data_K2SrZnP2
_symmetry_space_group_name_H-M 'P 1'
_symmetry_Int_Tables_number 1
_cell_length_a 8.750
_cell_length_b 8.750
_cell_length_c 8.750
_cell_angle_alpha 132.72
_cell_angle_beta 68.63
_cell_angle_gamma 133.31
loop_
_symmetry_equiv_pos_as_xyz
'x,y,z'
loop_
_atom_site_label
_atom_site_type_symbol
_atom_site_fract_x
_atom_site_fract_y
_atom_site_fract_z
K1 K 0.185 0.194 0.379
K2 K 0.315 0.694 0.009
K3 K 0.685 0.306 0.991
K4 K 0.815 0.806 0.621
Sr1 Sr 0.250 0.750 0.500
Sr2 Sr 0.750 0.250 0.500
Zn1 Zn 0.250 0.250 0.000
Zn2 Zn 0.750 0.750 0.000
P1 P 0.087 0.794 0.881
P2 P 0.413 0.294 0.707
P3 P 0.587 0.706 0.293
P4 P 0.913 0.206 0.119
# M_tot = 0.000 Bohr magnetons per cell
# ΔE_f = -519.3 meV/atom
# VASP energy = -38.2 eV/cell
# calculated density = 2768 kg/m3
# SG = Ibam, No. 72

7.
# PBE KTaP2, optimized geometry
data_KTaP2
_symmetry_space_group_name_H-M 'P 1'
_symmetry_Int_Tables_number 1
_cell_length_a 2.893
_cell_length_b 2.893
_cell_length_c 9.717
_cell_angle_alpha 90.00
_cell_angle_beta 90.00
_cell_angle_gamma 90.00
loop_
_symmetry_equiv_pos_as_xyz
'x,y,z'
loop_
_atom_site_label
_atom_site_type_symbol
_atom_site_fract_x
_atom_site_fract_y
_atom_site_fract_z
K1 K 0.000 0.000 0.000
Ta1 Ta 0.500 0.500 0.656
P1 P 0.000 0.000 0.486
P2 P 0.500 0.500 0.259
# M_tot = 0.000 Bohr magnetons per cell
# ΔE_f = 620.7 meV/atom
# VASP energy = -21.3 eV/cell
# calculated density = 5757 kg/m3
# SG = P4mm, No. 99
# energy above the lowest structure with this stoichiometry = 1102 meV per atom
# N(E_F) = 2.53 states/eV/f.u.

8.
# PBE KTaP2, optimized geometry
data_KTaP2
_symmetry_space_group_name_H-M 'P 1'
_symmetry_Int_Tables_number 1
_cell_length_a 5.234
_cell_length_b 5.234
_cell_length_c 2.842
_cell_angle_alpha 101.36
_cell_angle_beta 101.36
_cell_angle_gamma 90.26
loop_
_symmetry_equiv_pos_as_xyz
'x,y,z'
loop_
_atom_site_label
_atom_site_type_symbol
_atom_site_fract_x
_atom_site_fract_y
_atom_site_fract_z
K1 K 0.000 0.000 0.000
Ta1 Ta 0.500 0.500 0.000
P1 P 0.000 0.500 0.500
P2 P 0.500 0.000 0.500
# M_tot = 0.000 Bohr magnetons per cell
# ΔE_f = 323.0 meV/atom
# VASP energy = -22.5 eV/cell
# calculated density = 6264 kg/m3
# SG = C2/m, No. 12
# energy above the lowest structure with this stoichiometry = 804 meV per atom
# N(E_F) = 2.16 states/eV/f.u.

9.
# PBE KTaP2, optimized geometry
data_KTaP2
_symmetry_space_group_name_H-M 'P 1'
_symmetry_Int_Tables_number 1
_cell_length_a 8.265
_cell_length_b 8.265
_cell_length_c 8.265
_cell_angle_alpha 157.48
_cell_angle_beta 155.95
_cell_angle_gamma 33.19
loop_
_symmetry_equiv_pos_as_xyz
'x,y,z'
loop_
_atom_site_label
_atom_site_type_symbol
_atom_site_fract_x
_atom_site_fract_y
_atom_site_fract_z
K1 K 0.000 0.000 0.000
Ta1 Ta 0.755 0.255 0.500
P1 P 0.322 0.822 0.500
P2 P 0.636 0.636 0.000
# M_tot = 0.000 Bohr magnetons per cell
# ΔE_f = -347.5 meV/atom
# VASP energy = -25.2 eV/cell
# calculated density = 5317 kg/m3
# SG = Imm2, No. 44
# energy above the lowest structure with this stoichiometry = 134 meV per atom
# N(E_F) = 0.85 states/eV/f.u.

10.
# PBE KTaP, optimized geometry
data_KTaP
_symmetry_space_group_name_H-M 'P 1'
_symmetry_Int_Tables_number 1
_cell_length_a 3.511
_cell_length_b 3.511
_cell_length_c 7.019
_cell_angle_alpha 90.00
_cell_angle_beta 90.00
_cell_angle_gamma 120.00
loop_
_symmetry_equiv_pos_as_xyz
'x,y,z'
loop_
_atom_site_label
_atom_site_type_symbol
_atom_site_fract_x
_atom_site_fract_y
_atom_site_fract_z
K1 K 0.000 0.000 0.000
Ta1 Ta 0.333 0.667 0.534
P1 P 0.667 0.333 0.344
# M_tot = 0.001 Bohr magnetons per cell
# ΔE_f = 197.2 meV/atom
# VASP energy = -17.8 eV/cell
# calculated density = 5563 kg/m3
# SG = P3m1, No. 156
# energy above the lowest structure with this stoichiometry = 116 meV per atom
# N(E_F) = 4.06 states/eV/f.u.

11.
# PBE KTaP, optimized geometry
data_KTaP
_symmetry_space_group_name_H-M 'P 1'
_symmetry_Int_Tables_number 1
_cell_length_a 4.628
_cell_length_b 4.628
_cell_length_c 4.628
_cell_angle_alpha 60.00
_cell_angle_beta 60.00
_cell_angle_gamma 60.00
loop_
_symmetry_equiv_pos_as_xyz
'x,y,z'
loop_
_atom_site_label
_atom_site_type_symbol
_atom_site_fract_x
_atom_site_fract_y
_atom_site_fract_z
K1 K 0.000 0.000 0.000
Ta1 Ta 0.500 0.500 0.500
P1 P 0.750 0.750 0.750
# M_tot = 2.373 Bohr magnetons per cell
# ΔE_f = 946.9 meV/atom
# VASP energy = -15.5 eV/cell
# calculated density = 5946 kg/m3
# SG = F-43m, No. 216
# energy above the lowest structure with this stoichiometry = 866 meV per atom
# N(E_F) = 2.33 states/eV/f.u.

12.
# PBE KTaP2, optimized geometry
data_KTaP2
_symmetry_space_group_name_H-M 'P 1'
_symmetry_Int_Tables_number 1
_cell_length_a 2.782
_cell_length_b 2.782
_cell_length_c 11.528
_cell_angle_alpha 90.00
_cell_angle_beta 90.00
_cell_angle_gamma 99.23
loop_
_symmetry_equiv_pos_as_xyz
'x,y,z'
loop_
_atom_site_label
_atom_site_type_symbol
_atom_site_fract_x
_atom_site_fract_y
_atom_site_fract_z
K1 K 0.000 0.000 0.000
Ta1 Ta 0.500 0.500 0.710
P1 P 0.000 0.000 0.547
P2 P 0.500 0.500 0.224
# M_tot = 0.000 Bohr magnetons per cell
# ΔE_f = 621.6 meV/atom
# VASP energy = -21.3 eV/cell
# calculated density = 5319 kg/m3
# SG = Cmm2, No. 35
# energy above the lowest structure with this stoichiometry = 1103 meV per atom
# N(E_F) = 3.07 states/eV/f.u.

13.
# PBE KTaP2, optimized geometry
data_KTaP2
_symmetry_space_group_name_H-M 'P 1'
_symmetry_Int_Tables_number 1
_cell_length_a 4.643
_cell_length_b 4.643
_cell_length_c 4.643
_cell_angle_alpha 60.00
_cell_angle_beta 60.00
_cell_angle_gamma 60.00
loop_
_symmetry_equiv_pos_as_xyz
'x,y,z'
loop_
_atom_site_label
_atom_site_type_symbol
_atom_site_fract_x
_atom_site_fract_y
_atom_site_fract_z
K1 K 0.000 0.000 0.000
Ta1 Ta 0.750 0.750 0.750
P1 P 0.250 0.250 0.250
P2 P 0.500 0.500 0.500
# M_tot = 0.000 Bohr magnetons per cell
# ΔE_f = 1038.8 meV/atom
# VASP energy = -19.6 eV/cell
# calculated density = 6617 kg/m3
# SG = F-43m, No. 216
# energy above the lowest structure with this stoichiometry = 1520 meV per atom
# N(E_F) = 2.46 states/eV/f.u.

14.
# PBE KTaP4, optimized geometry
data_KTaP4
_symmetry_space_group_name_H-M 'P 1'
_symmetry_Int_Tables_number 1
_cell_length_a 5.267
_cell_length_b 5.267
_cell_length_c 5.267
_cell_angle_alpha 60.00
_cell_angle_beta 60.00
_cell_angle_gamma 60.00
loop_
_symmetry_equiv_pos_as_xyz
'x,y,z'
loop_
_atom_site_label
_atom_site_type_symbol
_atom_site_fract_x
_atom_site_fract_y
_atom_site_fract_z
K1 K 0.000 0.000 0.000
Ta1 Ta 0.250 0.250 0.250
P1 P 0.145 0.618 0.618
P2 P 0.618 0.145 0.618
P3 P 0.618 0.618 0.145
P4 P 0.618 0.618 0.618
# M_tot = 0.001 Bohr magnetons per cell
# ΔE_f = 691.1 meV/atom
# VASP energy = -30.4 eV/cell
# calculated density = 5526 kg/m3
# SG = F-43m, No. 216
# N(E_F) = 2.59 states/eV/f.u.

15.
# PBE KTaP2, optimized geometry
data_KTaP2
_symmetry_space_group_name_H-M 'P 1'
_symmetry_Int_Tables_number 1
_cell_length_a 3.166
_cell_length_b 3.199
_cell_length_c 7.848
_cell_angle_alpha 90.00
_cell_angle_beta 92.46
_cell_angle_gamma 90.00
loop_
_symmetry_equiv_pos_as_xyz
'x,y,z'
loop_
_atom_site_label
_atom_site_type_symbol
_atom_site_fract_x
_atom_site_fract_y
_atom_site_fract_z
K1 K 0.000 0.000 0.000
Ta1 Ta 0.000 0.000 0.500
P1 P 0.480 0.500 0.685
P2 P 0.520 0.500 0.315
# M_tot = 0.000 Bohr magnetons per cell
# ΔE_f = -319.5 meV/atom
# VASP energy = -25.0 eV/cell
# calculated density = 5897 kg/m3
# SG = P2/m, No. 10
# energy above the lowest structure with this stoichiometry = 162 meV per atom
# N(E_F) = 2.14 states/eV/f.u.